A:
Below is an optimized crystal structure of VSbH3, with properties calculated at the PBE-GGA level.

extended XYZ file:
```
5
Lattice="-2.905 -1.960 1.975 -1.771 -0.900 -3.498 2.146 -3.396 -0.213" Properties=species:S:1:pos:R:3 pbc="T T T"
Sb 0.000 0.000 0.000
V -1.265 -3.128 -0.868
H -0.885 -0.450 -1.749
H 1.073 -1.698 -0.106
H -1.453 -0.980 0.988
```

Output
- Fermi-level density of states: 5.01 states/eV/cell
- Spin magnetization: 3.9 μB/f.u.



B:
Below is an optimized crystal structure of VSbH3, with properties calculated at the PBE-GGA level.

extended XYZ file:
```
5
Lattice="-2.477 2.260 -1.391 0.162 -1.770 -3.165 -2.649 -2.222 1.107" Properties=species:S:1:pos:R:3 pbc="T T T"
Sb -2.482 -0.866 -1.724
V 0.000 0.000 0.000
H 0.081 -0.885 -1.582
H -1.324 -1.111 0.554
H -1.238 1.130 -0.696
```

Output
- Fermi-level density of states: 2.44 states/eV/cell
- Spin magnetization: 1.1 μB/f.u.



Which of them is least stable? Easy: A.



A:
Below is an optimized crystal structure of VSb2H, with properties calculated at the PBE-GGA level.

extended XYZ file:
```
4
Lattice="0.000 3.315 3.315 3.315 0.000 3.315 3.315 3.315 0.000" Properties=species:S:1:pos:R:3 pbc="T T T"
Sb 1.657 1.657 1.657
Sb 4.972 4.972 4.972
V 3.315 3.315 3.315
H 0.000 0.000 0.000
```

Output
- Fermi-level density of states: 3.26 states/eV/cell
- Spin magnetization: 3.2 μB/f.u.



B:
Below is an optimized crystal structure of VSb2H, with properties calculated at the PBE-GGA level.

extended XYZ file:
```
8
Lattice="6.423 0.000 0.000 0.000 6.423 0.000 3.211 3.211 3.407" Properties=species:S:1:pos:R:3 pbc="T T T"
Sb 4.346 1.606 0.852
Sb 2.077 4.817 0.852
Sb 4.817 5.288 2.555
Sb 8.029 7.557 2.555
V 0.000 0.000 0.000
V 6.423 3.211 1.703
H 3.211 3.211 0.000
H 3.211 6.423 1.703
```

Output
- Fermi-level density of states: 4.94 states/eV/cell
- Spin magnetization: 1.9 μB/f.u.



Which of them is least stable? Easy: A.



A:
Below is an optimized crystal structure of SbH3W, with properties calculated at the PBE-GGA level.

extended XYZ file:
```
5
Lattice="3.784 0.000 0.000 0.000 3.784 0.000 0.000 0.000 3.784" Properties=species:S:1:pos:R:3 pbc="T T T"
Sb 0.000 0.000 0.000
W 1.892 1.892 1.892
H 0.000 1.892 0.000
H 0.000 0.000 1.892
H 1.892 0.000 0.000
```

Output
- Fermi-level density of states: 2.20 states/eV/cell
- Spin magnetization: 0.0 μB/f.u.



B:
Below is an optimized crystal structure of SbH3W, with properties calculated at the PBE-GGA level.

extended XYZ file:
```
5
Lattice="3.712 0.000 0.000 0.000 3.712 0.000 0.000 0.000 3.712" Properties=species:S:1:pos:R:3 pbc="T T T"
Sb 1.856 1.856 1.856
W 0.000 0.000 0.000
H 0.000 1.856 0.000
H 0.000 0.000 1.856
H 1.856 0.000 0.000
```

Output
- Fermi-level density of states: 1.98 states/eV/cell
- Spin magnetization: 0.0 μB/f.u.



Which of them is least stable? Easy: A.



A:
Below is an optimized crystal structure of Sb2HW, with properties calculated at the PBE-GGA level.

extended XYZ file:
```
4
Lattice="0.000 3.312 3.312 3.312 0.000 3.312 3.312 3.312 0.000" Properties=species:S:1:pos:R:3 pbc="T T T"
Sb 1.656 1.656 1.656
Sb 4.968 4.968 4.968
W 3.312 3.312 3.312
H 0.000 0.000 0.000
```

Output
- Fermi-level density of states: 1.60 states/eV/cell
- Spin magnetization: 1.0 μB/f.u.



B:
Below is an optimized crystal structure of Sb2HW, with properties calculated at the PBE-GGA level.

extended XYZ file:
```
8
Lattice="6.428 0.000 0.000 0.000 6.428 0.000 3.214 3.214 3.326" Properties=species:S:1:pos:R:3 pbc="T T T"
Sb 4.322 1.607 0.831
Sb 2.106 4.821 0.831
Sb 4.821 5.320 2.494
Sb 8.035 7.536 2.494
W 0.000 0.000 0.000
W 6.428 3.214 1.663
H 3.214 3.214 0.000
H 3.214 6.428 1.663
```

Output
- Fermi-level density of states: 9.48 states/eV/cell
- Spin magnetization: 0.0 μB/f.u.



Which of them is least stable? Easy: A.



A:
Below is an optimized crystal structure of SbHW3, with properties calculated at the PBE-GGA level.

extended XYZ file:
```
5
Lattice="-1.593 4.241 1.944 -4.211 -2.191 1.330 2.008 -1.230 4.330" Properties=species:S:1:pos:R:3 pbc="T T T"
Sb 0.000 0.000 0.000
W -2.105 -1.096 0.665
W 1.004 -0.615 2.165
W -0.796 2.120 0.972
H -1.898 0.410 3.802
```

Output
- Fermi-level density of states: 8.50 states/eV/cell
- Spin magnetization: 0.0 μB/f.u.



B:
Below is an optimized crystal structure of SbHW3, with properties calculated at the PBE-GGA level.

extended XYZ file:
```
5
Lattice="4.137 0.000 0.000 0.000 4.137 0.000 0.000 0.000 4.137" Properties=species:S:1:pos:R:3 pbc="T T T"
Sb 2.069 2.069 2.069
W 0.000 2.069 0.000
W 0.000 0.000 2.069
W 2.069 0.000 0.000
H 0.000 0.000 0.000
```

Output
- Fermi-level density of states: 6.08 states/eV/cell
- Spin magnetization: 0.0 μB/f.u.



Which of them is least stable? Easy: A.



A:
Below is an optimized crystal structure of YSbH3, with properties calculated at the PBE-GGA level.

extended XYZ file:
```
5
Lattice="-0.705 3.837 -1.196 -3.733 -1.075 -1.250 -1.491 0.878 3.696" Properties=species:S:1:pos:R:3 pbc="T T T"
Y -2.964 1.820 0.625
Sb 0.000 0.000 0.000
H -1.866 -0.538 -0.625
H -0.745 0.439 1.848
H -0.352 1.919 -0.598
```

Output
- Fermi-level density of states: 1.31 states/eV/cell
- Spin magnetization: 0.0 μB/f.u.



B:
Below is an optimized crystal structure of YSbH3, with properties calculated at the PBE-GGA level.

extended XYZ file:
```
5
Lattice="4.108 0.000 0.000 0.000 4.108 0.000 0.000 0.000 4.108" Properties=species:S:1:pos:R:3 pbc="T T T"
Y 0.000 0.000 0.000
Sb 2.054 2.054 2.054
H 0.000 2.054 0.000
H 0.000 0.000 2.054
H 2.054 0.000 0.000
```

Output
- Fermi-level density of states: 3.33 states/eV/cell
- Spin magnetization: 0.0 μB/f.u.



Which of them is least stable? Easy: A.